# 1
18
Lattice="-2.287 -3.247 4.763 5.664 -4.151 -0.110 3.246 4.309 4.496" Properties=species:S:1:pos:R:3 comment="Ac2LaAuO5, optimized geometry, DFT PBE" formation_energy_uncorrected_ev_per_atom=-2.319 final_energy_ev_per_cell=-124.2 pbc="T T T"
Ac 3.137 -3.673 3.039
Ac 0.873 -0.844 3.881
Ac 5.750 -2.244 5.268
Ac 3.486 0.585 6.109
La 4.455 0.079 2.193
La 0.000 0.000 0.000
Au 1.623 2.155 2.248
Au 2.832 -2.075 -0.055
O 3.311 -1.544 4.574
O -1.143 -1.624 2.382
O 2.682 1.432 4.131
O 5.170 -2.775 2.457
O 1.872 -1.318 1.867
O 5.980 -0.025 4.721
O 1.453 -0.314 6.692
O 4.751 -1.771 7.282
O 3.940 -4.521 5.018
O 0.643 -3.064 4.428

=====

# 2
16
Lattice="-2.785 0.386 -7.300 -8.281 -1.403 3.085 4.012 6.672 3.013" Properties=species:S:1:pos:R:3 comment="Rb4Np3PtS8, optimized geometry, DFT PBE" formation_energy_uncorrected_ev_per_atom=-1.130 final_energy_ev_per_cell=-99.8 pbc="T T T"
Rb -1.392 0.193 -3.650
Rb 0.614 3.529 -2.143
Rb 0.000 0.000 0.000
Rb 2.006 3.336 1.506
Np -5.533 -0.509 -2.107
Np -3.527 2.828 -0.601
Np -2.134 2.635 3.049
Pt -4.141 -0.701 1.543
S -2.271 5.458 3.485
S -4.538 2.697 1.874
S -1.101 3.364 0.598
S -3.819 5.672 -0.574
S -3.234 -0.017 -0.627
S -5.953 2.292 -1.799
S -2.515 2.959 -3.075
S -4.783 0.197 -4.687